DFT (PBE-GGA) results for a relaxed structure of RbBaSiAu.

## Properties
VASP energy   -11.4 eV per cell

abc: 5.450 5.450 5.450
angles: 60.00 60.00 60.00
Positions (direct):
Rb1 0.000 0.000 0.000
Ba1 0.250 0.250 0.250
Si1 0.500 0.500 0.500
Au1 0.750 0.750 0.750

---

DFT (PBE-GGA) results for a relaxed structure of RbBaSnAu.

## Properties
VASP energy   -11.2 eV per cell

abc: 5.584 5.584 5.584
angles: 60.00 60.00 60.00
Positions (direct):
Rb1 0.000 0.000 0.000
Ba1 0.750 0.750 0.750
Sn1 0.250 0.250 0.250
Au1 0.500 0.500 0.500

---

DFT (PBE-GGA) results for a relaxed structure of Ba3Re2Au2.

## Properties
VASP energy   -29.2 eV per cell

abc: 9.501 9.501 9.501
angles: 33.27 33.27 33.27
Positions (direct):
Ba1 0.000 0.000 0.000
Ba2 0.242 0.242 0.242
Ba3 0.484 0.484 0.484
Re1 0.119 0.119 0.119
Re2 0.627 0.627 0.627
Au1 0.365 0.365 0.365
Au2 0.860 0.860 0.860

---

DFT (PBE-GGA) results for a relaxed structure of Ba2ReAu.

## Properties
VASP energy   -16.2 eV per cell

abc: 5.364 5.364 5.364
angles: 60.00 60.00 60.00
Positions (direct):
Ba1 0.000 0.000 0.000
Ba2 0.250 0.250 0.250
Re1 0.500 0.500 0.500
Au1 0.750 0.750 0.750

---

DFT (PBE-GGA) results for a relaxed structure of Ba2ReAuS6.

## Properties
VASP energy   -51.1 eV per cell

abc: 6.949 6.949 6.949
angles: 60.00 60.00 60.00
Positions (direct):
Ba1 0.250 0.250 0.250
Ba2 0.750 0.750 0.750
Re1 0.000 0.000 0.000
Au1 0.500 0.500 0.500
S1 0.241 0.241 0.759
S2 0.241 0.759 0.241
S3 0.241 0.759 0.759
S4 0.759 0.241 0.241
S5 0.759 0.241 0.759
S6 0.759 0.759 0.241

---

DFT (PBE-GGA) results for a relaxed structure of BaAu2S2.

## Properties
VASP energy   -42.8 eV per cell

abc: 7.962 7.962 7.962
angles: 131.41 131.41 71.15
Positions (direct):
Ba1 0.375 0.625 0.750
Ba2 0.625 0.375 0.250
Au1 0.000 0.000 0.000
Au2 0.000 0.000 0.500
Au3 0.000 0.500 0.000
Au4 0.500 0.000 0.500
S1 0.128 0.378 0.750
S2 0.378 0.128 0.250
S3 0.622 0.872 0.750
S4 0.872 0.622 0.250

---

DFT (PBE-GGA) results for a relaxed structure of BaScAuS3.

## Properties
VASP energy   -129.4 eV per cell

abc: 13.237 3.981 10.710
angles: 90.00 90.00 90.00
Positions (direct):
Ba1 0.172 0.250 0.018
Ba2 0.328 0.750 0.518
Ba3 0.672 0.250 0.482
Ba4 0.828 0.750 0.982
Sc1 0.031 0.750 0.652
Sc2 0.469 0.250 0.152
Sc3 0.531 0.750 0.848
Sc4 0.969 0.250 0.348
Au1 0.188 0.750 0.266
Au2 0.312 0.250 0.766
Au3 0.688 0.750 0.234
Au4 0.812 0.250 0.734
S1 0.019 0.750 0.187
S2 0.109 0.250 0.522
S3 0.197 0.750 0.787
S4 0.303 0.250 0.287
S5 0.391 0.750 0.022
S6 0.481 0.250 0.687
S7 0.519 0.750 0.313
S8 0.609 0.250 0.978
S9 0.697 0.750 0.713
S10 0.803 0.250 0.213
S11 0.891 0.750 0.478
S12 0.981 0.250 0.813

---

DFT (PBE-GGA) results for a relaxed structure of BaScAuS3.

## Properties
VASP energy   -65.4 eV per cell

abc: 7.947 3.985 9.322
angles: 90.00 107.87 90.00
Positions (direct):
Ba1 0.231 0.250 0.265
Ba2 0.769 0.750 0.735
Sc1 0.320 0.750 0.846
Sc2 0.680 0.250 0.154
Au1 0.115 0.250 0.598
Au2 0.885 0.750 0.402
S1 0.101 0.250 0.863
S2 0.291 0.750 0.554
S3 0.451 0.750 0.134
S4 0.549 0.250 0.866
S5 0.709 0.250 0.446
S6 0.899 0.750 0.137